# 1
First-principles (PBE) data for a relaxed structure of Ba2CdIn2, as listed in Alexandria.

Cell: 12.307 5.298 12.725 Å, 90.00 118.29 90.00°
Space group C2/m (No. 12)
One atom of each set of equivalent atoms:
Ba 0.085 0.000 0.387 [4 per cell]
Ba 0.186 0.500 0.167 [4 per cell]
Cd 0.127 0.500 0.852 [4 per cell]
In 0.083 0.000 0.943 [4 per cell]
In 0.120 0.500 0.610 [4 per cell]

## Properties
energy relative to the lowest polymorph listed for this composition = 0.0 meV/atom
calculated volume = 36.5 A^3/atom
M_tot = 0.00 μB per formula unit


# 2
First-principles (PBE) data for a relaxed structure of Ba2CdIn, as listed in Alexandria.

Cell: 4.3608 4.3608 31.6255 Å, 90.00 90.00 120.00°
Space group R-3m (No. 166, hexagonal axes)
One atom of each set of equivalent atoms:
Ba 0.0000 0.0000 0.2502 [6 per cell]
Cd 0.0000 0.0000 0.0000 [3 per cell]
In 0.0000 0.0000 0.5000 [3 per cell]

## Properties
calculated volume = 43.4 A^3/atom
final energy = -24.3 eV/cell
M_tot = 0.00 μB per formula unit